The following is a PBE calculation of Y2HfBiRu after structural relaxation, from Alexandria.

Lattice parameters (Å, degrees): 5.3888 5.3888 4.9300 90.00 90.00 90.00
With the nearest neighbours (Å) after each atom.
Space group P4/mmm (No. 123)
Inequivalent atoms, fractional coordinates:
Y 0.0000 0.5000 0.0000 [2 per cell]  2 Ru 2.69
Hf 0.0000 0.0000 0.5000 [1 per cell]  2 Ru 2.46
Bi 0.5000 0.5000 0.5000 [1 per cell]  8 Y 3.65, 4 Hf 3.81
Ru 0.0000 0.0000 0.0000 [1 per cell]  2 Hf 2.46, 4 Y 2.69

Results
Its formation energy is -0.1729 eV per atom. The value obtained for the total energy is -0.271 Ha/atom.

---

The following is a PBE calculation of HfBi2S6 after structural relaxation, from Alexandria.

Lattice parameters (Å, degrees): 6.2695 6.2695 12.2088 90.00 90.00 90.00
With the nearest neighbours (Å) after each atom.
Space group P4_2/mnm (No. 136)
Inequivalent atoms, fractional coordinates:
Hf 0.0000 0.0000 0.0000 [2 per cell]  6 S 2.51-2.57
Bi 0.0000 0.0000 0.3333 [4 per cell]  6 S 2.76-2.77
S 0.1882 0.1882 0.1536 [8 per cell]  1 Hf 2.51, 2 Bi 2.76-2.77
S 0.2103 0.2103 0.5000 [4 per cell]  1 Hf 2.57, 2 Bi 2.76

Results
The calculation puts the formation energy (no corrections) at -0.447 eV/atom. The value obtained for the total energy is -0.190 Ha/atom.

---

The following is a PBE calculation of Hf7Bi2S2 after structural relaxation, from Alexandria.

Lattice parameters (Å, degrees): 11.0026 8.0833 5.5672 90.00 90.69 90.00
With the nearest neighbours (Å) after each atom.
Space group C2/m (No. 12)
Inequivalent atoms, fractional coordinates:
Hf 0.0000 0.0000 0.0000 [2 per cell]  2 S 2.43
Hf 0.0738 0.5000 0.7628 [4 per cell]  1 S 2.43
Hf 0.2101 0.3081 0.2424 [8 per cell]  2 S 2.57-2.63
Bi 0.0000 0.1904 0.5000 [4 per cell]  6 Hf 2.90-3.18, 1 Bi 3.08
S 0.2167 0.0000 0.0932 [4 per cell]  6 Hf 2.43-2.63

Results
The calculation puts the formation energy (no corrections) at -0.294 eV/atom. The value obtained for the total energy is -0.297 Ha/atom.

---

The following is a PBE calculation of Hf2Bi2S after structural relaxation, from Alexandria.

Lattice parameters (Å, degrees): 7.2529 7.2529 4.4640 90.00 90.00 90.00
With the nearest neighbours (Å) after each atom.
Space group P4/mbm (No. 127)
Inequivalent atoms, fractional coordinates:
Hf 0.1557 0.3443 0.0000 [4 per cell]  2 S 2.74, 2 Bi 2.98
Bi 0.1512 0.6512 0.5000 [4 per cell]  6 Hf 2.98-3.15, 1 Bi 3.10
S 0.0000 0.0000 0.0000 [2 per cell]  4 Hf 2.74

Results
The calculation puts the formation energy (no corrections) at -0.292 eV/atom. The value obtained for the total energy is -0.244 Ha/atom. For the distance to the lowest polymorph of the same formula, the calculation gives 0.000 eV per atom.

---

The following is a PBE calculation of Hf8BiS2 after structural relaxation, from Alexandria.

Lattice parameters (Å, degrees): 15.8990 5.7879 5.2067 90.00 104.97 90.00
With the nearest neighbours (Å) after each atom.
Space group C2/m (No. 12)
Inequivalent atoms, fractional coordinates:
Hf 0.0956 0.2472 0.1231 [8 per cell]  1 S 2.56, 1 Hf 2.86
Hf 0.1065 0.0000 0.6356 [4 per cell]  1 S 2.48
Hf 0.2258 0.5000 0.7369 [4 per cell]  2 S 2.60-2.61
Bi 0.0000 0.5000 0.5000 [2 per cell]  10 Hf 3.14-3.48
S 0.2320 0.5000 0.2429 [4 per cell]  5 Hf 2.48-2.61

Results
The calculation puts the formation energy (no corrections) at -0.310 eV/atom. The value obtained for the total energy is -0.318 Ha/atom.

---

The following is a PBE calculation of Hf3BiS after structural relaxation, from Alexandria.

Lattice parameters (Å, degrees): 5.3832 5.3832 5.3832 90.00 90.00 90.00
With the nearest neighbours (Å) after each atom.
Space group Pm-3m (No. 221)
Inequivalent atoms, fractional coordinates:
Hf 0.0000 0.0000 0.5000 [3 per cell]  2 Bi 2.69
Bi 0.0000 0.0000 0.0000 [1 per cell]  6 Hf 2.69
S 0.5000 0.5000 0.5000 [1 per cell]  12 Hf 3.81

Results
The calculation puts the formation energy (no corrections) at 1.622 eV/atom. The value obtained for the total energy is -0.219 Ha/atom. For the distance to the lowest polymorph of the same formula, the calculation gives 2.109 eV per atom.

---

The following is a PBE calculation of HfBi3S6 after structural relaxation, from Alexandria.

Lattice parameters (Å, degrees): 6.7461 7.4496 11.9614 90.00 123.85 90.00
With the nearest neighbours (Å) after each atom.
Space group P2_1/c (No. 14)
Inequivalent atoms, fractional coordinates:
Hf 0.0000 0.0000 0.0000 [2 per cell]  6 S 2.53-2.58
Bi 0.3093 0.0804 0.7825 [4 per cell]  5 S 2.75-3.01
Bi 0.5000 0.0000 0.5000 [2 per cell]  6 S 2.79-2.85
S 0.0974 0.0631 0.2362 [4 per cell]  1 Hf 2.56, 2 Bi 2.83-2.84
S 0.2564 0.7128 0.0847 [4 per cell]  1 Hf 2.58, 2 Bi 2.85-2.88
S 0.3622 0.1684 0.0431 [4 per cell]  1 Hf 2.53, 2 Bi 2.75-2.79

Results
The calculation puts the formation energy (no corrections) at -0.587 eV/atom. The value obtained for the total energy is -0.192 Ha/atom.

---

The following is a PBE calculation of HfBiS2 after structural relaxation, from Alexandria.

Lattice parameters (Å, degrees): 6.5777 6.5777 10.9043 90.00 90.00 90.00
With the nearest neighbours (Å) after each atom.
Space group I-42d (No. 122)
Inequivalent atoms, fractional coordinates:
Hf 0.0000 0.0000 0.0000 [4 per cell]  4 S 2.41
Bi 0.0000 0.0000 0.5000 [4 per cell]  4 S 3.05
S 0.1695 0.2500 0.1250 [8 per cell]  2 Hf 2.41

Results
The calculation puts the formation energy (no corrections) at -0.421 eV/atom. The value obtained for the total energy is -0.218 Ha/atom.

---

The following is a PBE calculation of Hf6BiS after structural relaxation, from Alexandria.

Lattice parameters (Å, degrees): 9.2249 9.2249 7.3785 90.00 90.00 120.00
With the nearest neighbours (Å) after each atom.
Space group R-3m (No. 166, hexagonal axes)
Inequivalent atoms, fractional coordinates:
Hf 0.0512 0.5256 0.3068 [18 per cell]  1 S 2.48
Bi 0.0000 0.0000 0.0000 [3 per cell]  6 Hf 3.08
S 0.0000 0.0000 0.5000 [3 per cell]  6 Hf 2.48

Results
The calculation puts the formation energy (no corrections) at -0.214 eV/atom. The value obtained for the total energy is -0.319 Ha/atom.

---

The following is a PBE calculation of Hf2Bi2S after structural relaxation, from Alexandria.

Lattice parameters (Å, degrees): 5.4812 5.4812 9.3345 90.00 90.00 90.00
With the nearest neighbours (Å) after each atom.
Space group I4/mmm (No. 139)
Inequivalent atoms, fractional coordinates:
Hf 0.0000 0.5000 0.2500 [4 per cell]  4 Bi 2.88
Bi 0.0000 0.0000 0.1557 [4 per cell]  4 Hf 2.88, 1 Bi 2.91, 1 S 3.21
S 0.0000 0.0000 0.5000 [2 per cell]  2 Bi 3.21, 8 Hf 3.60

Results
The calculation puts the formation energy (no corrections) at 0.376 eV/atom. The value obtained for the total energy is -0.220 Ha/atom. For the distance to the lowest polymorph of the same formula, the calculation gives 0.668 eV per atom.

---

The following is a PBE calculation of Hf4Bi3S after structural relaxation, from Alexandria.

Lattice parameters (Å, degrees): 5.1918 10.4737 7.9920 90.00 90.00 90.00
With the nearest neighbours (Å) after each atom.
Space group Pmmn (No. 59, origin choice 2)
Inequivalent atoms, fractional coordinates:
Hf 0.2500 0.0119 0.1064 [4 per cell]  1 S 2.56
Hf 0.2500 0.2500 0.8574 [2 per cell]  1 S 2.57
Hf 0.2500 0.7500 0.9099 [2 per cell]  2 S 2.69, 2 Bi 3.00
Bi 0.2500 0.5122 0.7009 [4 per cell]  5 Hf 3.00-3.25
Bi 0.2500 0.7500 0.3099 [2 per cell]  5 Hf 2.92-3.20
S 0.2500 0.2500 0.1794 [2 per cell]  5 Hf 2.56-2.69

Results
The calculation puts the formation energy (no corrections) at -0.468 eV/atom. The value obtained for the total energy is -0.273 Ha/atom.

---

The following is a PBE calculation of Hf2Bi2S after structural relaxation, from Alexandria.

Lattice parameters (Å, degrees): 8.2367 8.2367 3.7437 90.00 90.00 90.00
With the nearest neighbours (Å) after each atom.
Space group P4/mbm (No. 127)
Inequivalent atoms, fractional coordinates:
Hf 0.1311 0.3689 0.0000 [4 per cell]  6 Bi 3.04-3.07, 1 Hf 3.05
Bi 0.1630 0.6630 0.5000 [4 per cell]  6 Hf 3.04-3.07, 2 S 3.08
S 0.0000 0.0000 0.5000 [2 per cell]  4 Bi 3.08

Results
The calculation puts the formation energy (no corrections) at 0.256 eV/atom. The value obtained for the total energy is -0.224 Ha/atom. For the distance to the lowest polymorph of the same formula, the calculation gives 0.549 eV per atom.

---

The following is a PBE calculation of HfBiS2 after structural relaxation, from Alexandria.

Lattice parameters (Å, degrees): 3.5413 3.5413 26.6508 90.00 90.00 120.00
With the nearest neighbours (Å) after each atom.
Space group R-3m (No. 166, hexagonal axes)
Inequivalent atoms, fractional coordinates:
Hf 0.0000 0.0000 0.0000 [3 per cell]  6 S 2.55
Bi 0.0000 0.0000 0.5000 [3 per cell]  2 S 2.91
S 0.0000 0.0000 0.3908 [6 per cell]  3 Hf 2.55

Results
The calculation puts the formation energy (no corrections) at -1.064 eV/atom. The value obtained for the total energy is -0.242 Ha/atom.

---

The following is a PBE calculation of Hf3BiS after structural relaxation, from Alexandria.

Lattice parameters (Å, degrees): 9.1540 12.2457 3.9425 90.00 90.00 90.00
With the nearest neighbours (Å) after each atom.
Space group Cmmm (No. 65)
Inequivalent atoms, fractional coordinates:
Hf 0.0000 0.1913 0.0000 [4 per cell]  2 S 2.40
Hf 0.1887 0.3661 0.5000 [8 per cell]  2 S 2.49
Bi 0.0000 0.0000 0.5000 [2 per cell]  8 Hf 3.06-3.29
Bi 0.0000 0.5000 0.0000 [2 per cell]  8 Hf 3.09
S 0.2500 0.2500 0.0000 [4 per cell]  6 Hf 2.40-2.49

Results
The calculation puts the formation energy (no corrections) at -0.487 eV/atom. The value obtained for the total energy is -0.296 Ha/atom. For the distance to the lowest polymorph of the same formula, the calculation gives 0.000 eV per atom.

---

The following is a PBE calculation of Hf6Bi2S after structural relaxation, from Alexandria.

Lattice parameters (Å, degrees): 6.0336 6.9106 11.3003 90.00 121.78 90.00
With the nearest neighbours (Å) after each atom.
Space group P2_1/c (No. 14)
Inequivalent atoms, fractional coordinates:
Hf 0.1028 0.2256 0.4685 [4 per cell]  1 S 2.72, 3 Bi 2.99-3.05, 1 Hf 3.00
Hf 0.3184 0.6669 0.4776 [4 per cell]  1 S 2.50
Hf 0.3791 0.0166 0.2485 [4 per cell]  1 S 2.54
Bi 0.1373 0.0996 0.7360 [4 per cell]  8 Hf 2.94-3.21
S 0.5000 0.0000 0.5000 [2 per cell]  6 Hf 2.50-2.72

Results
The calculation puts the formation energy (no corrections) at -0.306 eV/atom. The value obtained for the total energy is -0.304 Ha/atom.

---

The following is a PBE calculation of Hf3BiS after structural relaxation, from Alexandria.

Lattice parameters (Å, degrees): 4.8302 4.8302 4.8302 90.00 90.00 90.00
With the nearest neighbours (Å) after each atom.
Space group Pm-3m (No. 221)
Inequivalent atoms, fractional coordinates:
Hf 0.0000 0.0000 0.5000 [3 per cell]  2 S 2.42
Bi 0.5000 0.5000 0.5000 [1 per cell]  12 Hf 3.42
S 0.0000 0.0000 0.0000 [1 per cell]  6 Hf 2.42

Results
The calculation puts the formation energy (no corrections) at -0.220 eV/atom. The value obtained for the total energy is -0.286 Ha/atom. For the distance to the lowest polymorph of the same formula, the calculation gives 0.266 eV per atom.

---

The following is a PBE calculation of Hf6BiS2 after structural relaxation, from Alexandria.

Lattice parameters (Å, degrees): 13.1808 10.5111 6.0860 90.00 115.35 90.00
With the nearest neighbours (Å) after each atom.
Space group C2/c (No. 15)
Inequivalent atoms, fractional coordinates:
Hf 0.0985 0.0771 0.0181 [8 per cell]  2 S 2.62-2.74
Hf 0.1046 0.4331 0.0091 [8 per cell]  2 S 2.58-2.80
Hf 0.1764 0.2509 0.7266 [8 per cell]  2 S 2.59-2.67, 1 Bi 2.84
Bi 0.0000 0.2673 0.2500 [4 per cell]  6 Hf 2.84-3.04
S 0.2446 0.0872 0.5004 [8 per cell]  6 Hf 2.58-2.80

Results
The calculation puts the formation energy (no corrections) at -0.524 eV/atom. The value obtained for the total energy is -0.313 Ha/atom.

---

The following is a PBE calculation of Hf2BiSeS after structural relaxation, from Alexandria.

Lattice parameters (Å, degrees): 5.4870 5.4870 5.2643 90.00 90.00 90.00
With the nearest neighbours (Å) after each atom.
Space group P4/mmm (No. 123)
Inequivalent atoms, fractional coordinates:
Hf 0.0000 0.5000 0.0000 [2 per cell]  2 Bi 2.74
Bi 0.0000 0.0000 0.0000 [1 per cell]  2 Se 2.63, 4 Hf 2.74
Se 0.0000 0.0000 0.5000 [1 per cell]  2 Bi 2.63
S 0.5000 0.5000 0.5000 [1 per cell]  8 Hf 3.80, 4 Se 3.88

Results
The calculation puts the formation energy (no corrections) at 1.318 eV/atom. The value obtained for the total energy is -0.182 Ha/atom.

---

The following is a PBE calculation of Hf2SiBiS after structural relaxation, from Alexandria.

Lattice parameters (Å, degrees): 5.0017 5.0017 5.1142 90.00 90.00 90.00
With the nearest neighbours (Å) after each atom.
Space group P4/mmm (No. 123)
Inequivalent atoms, fractional coordinates:
Hf 0.0000 0.5000 0.0000 [2 per cell]  2 Si 2.50
Si 0.0000 0.0000 0.0000 [1 per cell]  4 Hf 2.50, 2 Bi 2.56
Bi 0.0000 0.0000 0.5000 [1 per cell]  2 Si 2.56
S 0.5000 0.5000 0.5000 [1 per cell]  4 Bi 3.54, 8 Hf 3.58

Results
The calculation puts the formation energy (no corrections) at 0.666 eV/atom. The value obtained for the total energy is -0.221 Ha/atom.

---

The following is a PBE calculation of HfTaBi2S after structural relaxation, from Alexandria.

Lattice parameters (Å, degrees): 5.3924 5.3924 4.4787 90.00 90.00 90.00
With the nearest neighbours (Å) after each atom.
Space group P4/mmm (No. 123)
Inequivalent atoms, fractional coordinates:
Hf 0.0000 0.0000 0.0000 [1 per cell]  8 Bi 3.50, 4 Ta 3.81
Ta 0.5000 0.5000 0.0000 [1 per cell]  2 S 2.24
Bi 0.0000 0.5000 0.5000 [2 per cell]  2 S 2.70
S 0.5000 0.5000 0.5000 [1 per cell]  2 Ta 2.24

Results
The calculation puts the formation energy (no corrections) at 0.661 eV/atom. The value obtained for the total energy is -0.223 Ha/atom.